VASP calculation (PBE) on a relaxed Pm6As2PtS3 crystal.

Spin magnetization in μB/cell: 0.00
Fermi-level density of states in states/eV/cell: 5.92
Formation energy (no corrections) in eV/f.u.: -20.404
Space group: C2/m (12)

Unit cell a=4.121 b=8.307 c=9.261 alpha=102.93 beta=102.85 gamma=90.00
Sites, in units of the cell vectors:
Pm1 0.332 0.917 0.664
Pm2 0.667 0.585 0.334
Pm3 0.668 0.083 0.336
Pm4 0.999 0.250 0.997
Pm5 0.001 0.750 0.003
Pm6 0.333 0.415 0.666
As1 0.834 0.666 0.668
As2 0.166 0.334 0.332
Pt1 0.500 0.000 0.000
S1 0.500 0.500 0.000
S2 0.831 0.166 0.663
S3 0.169 0.834 0.337

---

VASP calculation (PBE) on a relaxed Pm2ScAs3Pt4 crystal.

Spin magnetization in μB/cell: 0.00
Fermi-level density of states in states/eV/cell: 4.71
Space group: P-4m2 (115)
ΔH_f (0 K) in eV per atom: -0.980

Unit cell a=4.232 b=4.232 c=11.166 alpha=90.00 beta=90.00 gamma=90.00
Sites, in units of the cell vectors:
Pm1 0.500 0.000 0.220
Pm2 0.000 0.500 0.780
Sc1 0.500 0.500 0.500
As1 0.000 0.000 0.500
As2 0.500 0.000 0.865
As3 0.000 0.500 0.135
Pt1 0.500 0.500 0.000
Pt2 0.000 0.000 0.000
Pt3 0.500 0.000 0.644
Pt4 0.000 0.500 0.356

---

VASP calculation (PBE) on a relaxed Pm6As2PtSe3 crystal.

Spin magnetization in μB/cell: 0.00
Fermi-level density of states in states/eV/cell: 6.22
Formation energy (no corrections) in eV/f.u.: -19.633
Space group: C2/m (12)

Unit cell a=4.188 b=8.491 c=9.466 alpha=103.08 beta=102.78 gamma=90.00
Sites, in units of the cell vectors:
Pm1 0.335 0.911 0.669
Pm2 0.669 0.578 0.338
Pm3 0.665 0.089 0.331
Pm4 0.002 0.240 0.003
Pm5 0.998 0.760 0.997
Pm6 0.331 0.422 0.662
As1 0.833 0.666 0.667
As2 0.167 0.334 0.333
Pt1 0.500 0.000 0.000
Se1 0.500 0.500 0.000
Se2 0.832 0.167 0.663
Se3 0.168 0.833 0.337

---

VASP calculation (PBE) on a relaxed Pm4AsPtSe2 crystal.

Spin magnetization in μB/cell: 0.00
Fermi-level density of states in states/eV/cell: 6.10
Formation energy (no corrections) in eV/f.u.: -12.540
Space group: P2/m (10)

Unit cell a=4.170 b=7.376 c=7.337 alpha=70.90 beta=90.00 gamma=90.00
Sites, in units of the cell vectors:
Pm1 0.000 0.736 0.759
Pm2 0.000 0.264 0.241
Pm3 0.500 0.742 0.253
Pm4 0.500 0.258 0.747
As1 0.000 0.500 0.500
Pt1 0.500 0.500 0.000
Se1 0.000 0.000 0.000
Se2 0.500 0.000 0.500

---

VASP calculation (PBE) on a relaxed Pm3Si2AsPt9 crystal.

Spin magnetization in μB/cell: 0.00
Fermi-level density of states in states/eV/cell: 4.55
Formation energy (no corrections) in eV/f.u.: -10.846
Space group: P-3m1 (164)

Unit cell a=6.502 b=6.502 c=8.562 alpha=90.00 beta=90.00 gamma=120.00
Sites, in units of the cell vectors:
Pm1 0.333 0.667 0.703
Pm2 0.000 0.000 0.000
Pm3 0.667 0.333 0.297
Si1 0.333 0.667 0.185
Si2 0.667 0.333 0.815
As1 0.000 0.000 0.500
Pt1 0.855 0.145 0.717
Pt2 0.855 0.710 0.717
Pt3 0.290 0.145 0.717
Pt4 0.710 0.855 0.283
Pt5 0.145 0.290 0.283
Pt6 0.145 0.855 0.283
Pt7 0.500 0.000 0.000
Pt8 0.000 0.500 0.000
Pt9 0.500 0.500 0.000

---

VASP calculation (PBE) on a relaxed PmSnAsPt crystal.

Spin magnetization in μB/cell: 0.00
Fermi-level density of states in states/eV/cell: 4.62
Space group: F-43m (216)
ΔH_f (0 K) in eV per atom: -0.598

Unit cell a=5.018 b=5.018 c=5.018 alpha=60.00 beta=60.00 gamma=60.00
Sites, in units of the cell vectors:
As1 0.250 0.250 0.250
Sn1 0.000 0.000 0.000
Pt1 0.750 0.750 0.750
Pm1 0.500 0.500 0.500

---

VASP calculation (PBE) on a relaxed SrPmAsPt crystal.

Spin magnetization in μB/cell: 0.00
Fermi-level density of states in states/eV/cell: 0.03
Space group: F-43m (216)
ΔH_f (0 K) in eV per atom: -0.968

Unit cell a=5.204 b=5.204 c=5.204 alpha=60.00 beta=60.00 gamma=60.00
Sites, in units of the cell vectors:
Sr1 0.250 0.250 0.250
As1 0.000 0.000 0.000
Pt1 0.500 0.500 0.500
Pm1 0.750 0.750 0.750

---

VASP calculation (PBE) on a relaxed SrPmAs2Pt4 crystal.

Spin magnetization in μB/cell: 0.00
Fermi-level density of states in states/eV/cell: 5.32
Space group: P4/mmm (123)
ΔH_f (0 K) in eV per atom: -0.743

Unit cell a=4.129 b=4.129 c=10.349 alpha=90.00 beta=90.00 gamma=90.00
Sites, in units of the cell vectors:
Sr1 0.000 0.000 0.500
Pm1 0.000 0.000 0.000
As1 0.500 0.500 0.346
As2 0.500 0.500 0.654
Pt1 0.000 0.500 0.212
Pt2 0.500 0.000 0.788
Pt3 0.500 0.000 0.212
Pt4 0.000 0.500 0.788

---

VASP calculation (PBE) on a relaxed TbPm2As3Pt4 crystal.

Spin magnetization in μB/cell: 0.00
Fermi-level density of states in states/eV/cell: 3.37
Space group: P-4m2 (115)
ΔH_f (0 K) in eV per atom: -0.954

Unit cell a=4.293 b=4.293 c=11.360 alpha=90.00 beta=90.00 gamma=90.00
Sites, in units of the cell vectors:
Tb1 0.500 0.500 0.500
Pm1 0.500 0.000 0.213
Pm2 0.000 0.500 0.787
As1 0.000 0.000 0.500
As2 0.500 0.000 0.872
As3 0.000 0.500 0.128
Pt1 0.500 0.500 0.000
Pt2 0.000 0.000 0.000
Pt3 0.500 0.000 0.657
Pt4 0.000 0.500 0.343

---

VASP calculation (PBE) on a relaxed Pm8Te4As3Pt crystal.

Spin magnetization in μB/cell: 0.00
Fermi-level density of states in states/eV/cell: 10.70
Formation energy (no corrections) in eV/f.u.: -23.259
Space group: R-3m (166)

Unit cell a=8.649 b=8.788 c=8.650 alpha=119.48 beta=120.00 gamma=90.00
Sites, in units of the cell vectors:
Pm1 0.238 0.721 0.982
Pm2 0.238 0.721 0.477
Pm3 0.260 0.279 0.519
Pm4 0.744 0.721 0.982
Pm5 0.256 0.279 0.018
Pm6 0.740 0.721 0.481
Pm7 0.762 0.279 0.523
Pm8 0.762 0.279 0.018
Te1 0.500 0.000 0.000
Te2 0.500 0.000 0.500
Te3 0.000 0.000 0.000
Te4 0.000 0.000 0.500
As1 0.500 0.500 0.000
As2 0.500 0.500 0.500
As3 0.000 0.500 0.500
Pt1 0.000 0.500 0.000

---

VASP calculation (PBE) on a relaxed Pm8Te4AsPt3 crystal.

Spin magnetization in μB/cell: 0.00
Fermi-level density of states in states/eV/cell: 12.24
Formation energy (no corrections) in eV/f.u.: -20.879
Space group: R-3m (166)

Unit cell a=8.544 b=8.915 c=8.545 alpha=118.63 beta=120.00 gamma=90.00
Sites, in units of the cell vectors:
Pm1 0.242 0.719 0.977
Pm2 0.242 0.719 0.484
Pm3 0.263 0.288 0.525
Pm4 0.735 0.719 0.977
Pm5 0.265 0.281 0.023
Pm6 0.737 0.712 0.475
Pm7 0.758 0.281 0.516
Pm8 0.758 0.281 0.023
Te1 0.500 0.000 0.000
Te2 0.500 0.000 0.500
Te3 0.000 0.000 0.000
Te4 0.000 0.000 0.500
As1 0.000 0.500 0.000
Pt1 0.500 0.500 0.000
Pt2 0.500 0.500 0.500
Pt3 0.000 0.500 0.500

---

VASP calculation (PBE) on a relaxed Pm4Te2AsPt crystal.

Spin magnetization in μB/cell: 0.00
Fermi-level density of states in states/eV/cell: 6.14
Formation energy (no corrections) in eV/f.u.: -10.989
Space group: P2/m (10)

Unit cell a=4.269 b=7.561 c=7.681 alpha=108.92 beta=90.00 gamma=90.00
Sites, in units of the cell vectors:
Pm1 0.500 0.232 0.215
Pm2 0.500 0.768 0.785
Pm3 0.000 0.261 0.776
Pm4 0.000 0.739 0.224
Te1 0.500 0.000 0.500
Te2 0.000 0.500 0.500
As1 0.500 0.500 0.000
Pt1 0.000 0.000 0.000

---

Which formula does entry 9 have?
TbPm2As3Pt4